# 1
{
  "formula": "TbNi5Ge3",
  "functional": "PBE",
  "state": "relaxed",
  "volume_a3_per_cell": 507.0,
  "dft_energy_ev_per_cell": -205.01,
  "lattice": [[19.1635, 0.0000, 0.0000], [0.0000, 3.8814, 0.0000], [0.0000, 0.0000, 6.8156]],
  "species": ["Ge", "Tb", "Ni", "Ni", "Ni", "Ni", "Ge", "Ni", "Ni", "Ge", "Ge", "Ge", "Tb", "Ni", "Ge", "Ni", "Ni", "Ni", "Ni", "Ni", "Ge", "Ni", "Ni", "Ni", "Ni", "Ge", "Ni", "Tb", "Ni", "Ge", "Ni", "Ni", "Ge", "Tb", "Ge", "Ge"],
  "fractional_positions": [[0.5861, 0.7500, 0.9080], [0.3543, 0.7500, 0.3786], [0.4965, 0.2500, 0.3669], [0.5035, 0.7500, 0.6331], [0.0132, 0.2500, 0.6175], [0.4868, 0.7500, 0.1175], [0.9139, 0.2500, 0.4080], [0.9868, 0.7500, 0.3825], [0.8878, 0.7500, 0.6406], [0.4139, 0.2500, 0.0920], [0.7360, 0.2500, 0.1173], [0.7640, 0.7500, 0.6173], [0.8543, 0.7500, 0.1214], [0.7072, 0.7500, 0.9260], [0.4242, 0.2500, 0.6487], [0.2000, 0.7500, 0.1891], [0.2928, 0.2500, 0.0740], [0.2072, 0.7500, 0.5740], [0.5132, 0.2500, 0.8825], [0.9965, 0.2500, 0.1331], [0.2360, 0.2500, 0.3827], [0.3000, 0.2500, 0.6891], [0.0035, 0.7500, 0.8669], [0.8000, 0.2500, 0.8109], [0.6122, 0.2500, 0.1406], [0.5758, 0.7500, 0.3513], [0.7928, 0.2500, 0.4260], [0.6457, 0.2500, 0.6214], [0.7000, 0.7500, 0.3109], [0.2640, 0.7500, 0.8827], [0.1122, 0.2500, 0.3594], [0.3878, 0.7500, 0.8594], [0.0861, 0.7500, 0.5920], [0.1457, 0.2500, 0.8786], [0.9242, 0.2500, 0.8513], [0.0758, 0.7500, 0.1487]]
}

# 2
{
  "formula": "Tb4TlNi2Ge4",
  "functional": "PBE",
  "state": "relaxed",
  "volume_a3_per_cell": 224.1,
  "dft_energy_ev_per_cell": -58.71,
  "lattice": [[7.8303, -2.1222, 0.0000], [7.8303, 2.1222, 0.0000], [-2.2822, 0.0000, 6.7429]],
  "species": ["Ni", "Tb", "Ge", "Ge", "Ge", "Tb", "Ni", "Ge", "Tb", "Tb", "Tl"],
  "fractional_positions": [[0.7837, 0.7837, 0.3558], [0.6556, 0.6556, 0.9381], [0.9337, 0.9337, 0.3414], [0.7929, 0.7929, 0.7218], [0.2071, 0.2071, 0.2782], [0.5918, 0.5918, 0.3907], [0.2163, 0.2163, 0.6442], [0.0663, 0.0663, 0.6586], [0.3444, 0.3444, 0.0619], [0.4082, 0.4082, 0.6093], [0.0000, 0.0000, 0.0000]]
}

# 3
{
  "formula": "TbTm2Ni4Ge4",
  "functional": "PBE",
  "state": "relaxed",
  "volume_a3_per_cell": 183.3,
  "dft_energy_ev_per_cell": -62.60,
  "lattice": [[-2.0251, 3.3691, 6.7158], [2.0251, -3.3691, 6.7158], [2.0251, 3.3691, -6.7158]],
  "species": ["Tm", "Ni", "Ge", "Ni", "Ge", "Tb", "Ni", "Ge", "Ge", "Ni", "Tm"],
  "fractional_positions": [[0.3709, 0.8709, 0.5000], [0.0182, 0.3222, 0.6961], [0.3079, 0.5000, 0.8079], [0.9818, 0.6778, 0.3039], [0.7817, 0.7817, 0.0000], [0.0000, 0.0000, 0.0000], [0.6261, 0.3222, 0.3039], [0.2183, 0.2183, 0.0000], [0.6921, 0.5000, 0.1921], [0.3739, 0.6778, 0.6961], [0.6291, 0.1291, 0.5000]]
}